The following is a PBE calculation of SrLuAuSe3 after structural relaxation, from OQMD.

a b c (Å): 7.941 4.078 9.743
angles (deg): 90.00 105.62 90.00
Space group P2_1/m (No. 11)
Unique sites:
1 Sr 0.231 0.250 0.279 x2
2 Lu 0.316 0.750 0.835 x2
3 Au 0.108 0.250 0.593 x2
4 Se 0.074 0.250 0.853 x2
5 Se 0.302 0.750 0.539 x2
6 Se 0.428 0.750 0.136 x2

Properties
ΔE to the lowest computed polymorph: 0 meV per atom
Total energy: -4.776 eV/atom



The following is a PBE calculation of HfZnAu2 after structural relaxation, from OQMD.

a b c (Å): 4.7429 4.7429 7.8750
angles (deg): 90.00 90.00 120.00
Space group P6_3/mmc (No. 194)
Unique sites:
1 Hf 0.0000 0.0000 0.0000 x2
2 Zn 0.3333 0.6667 0.2500 x2
3 Au 0.3333 0.6667 0.5793 x4

Properties
Total energy: -4.660 eV/atom
Energy of formation from the pure elements: -0.89 eV per formula unit



The following is a PBE calculation of BIrPd after structural relaxation, from OQMD.

a b c (Å): 4.789 3.219 4.989
angles (deg): 90.00 94.25 90.00
Space group P2/m (No. 10)
Unique sites:
1 B 0.000 0.000 0.000 x1
2 B 0.500 0.500 0.500 x1
3 Ir 0.126 0.500 0.262 x2
4 Pd 0.368 0.000 0.750 x2

Properties
ΔE to the lowest computed polymorph: 0 meV per atom
Total energy: -7.080 eV/atom



Q: What is the total energy in the second record?
A: -4.660 eV/atom



Q: Which value of total energy does entry 2 give?
A: -4.660 eV/atom